# 1
Crystalline TaRu3O at its relaxed geometry. Source: Alexandria, functional PBE.

abc: 4.765 4.765 4.765
angles: 90.00 90.00 90.00
Site moments in Bohr magnetons follow the coordinates.
Sites, in units of the cell vectors:
Ru (0.000, 0.000, 0.500)  1.44
Ru (0.500, 0.000, 0.000)  1.33
O (0.500, 0.500, 0.500)  1.03
Ta (0.000, 0.000, 0.000)  -0.30
Ru (0.000, 0.500, 0.000)  1.57

Output
As for the uncorrected formation energy: 2.099 eV per atom. As for the density of states at the Fermi level: 0.9238 states/eV per atom.

---

# 2
Crystalline TaRu3O at its relaxed geometry. Source: Alexandria, functional PBE.

abc: 4.077 4.077 4.077
angles: 90.00 90.00 90.00
Sites, in units of the cell vectors:
Ru (0.000, 0.000, 0.500)
Ta (0.500, 0.500, 0.500)
Ru (0.500, 0.000, 0.000)
Ru (0.000, 0.500, 0.000)
O (0.000, 0.000, 0.000)

Output
As for the uncorrected formation energy: 0.010 eV per atom. As for the density of states at the Fermi level: 0.6972 states/eV per atom.

---

Computed distance to the lowest polymorph of the same formula, in the same sequence as the records: 10.45, 0.00 eV/f.u..